Record 1
This record from the Alexandria database describes a geometry-optimized TbDy4Ga15 structure. The functional is GGA-PBE.

Properties
Formation enthalpy at 0 K in eV per atom: -0.539
N(E_F) in states/eV/f.u.: 8.426
DFT total energy in eV/atom: -3.96

Lattice parameters (Å, degrees): 4.2828 4.2828 21.3194 90.00 90.00 90.00
Space group P4/mmm (No. 123)
Symmetry-distinct sites (fractional):
Tb 0.0000 0.0000 0.0000 (multiplicity 1)
Dy 0.0000 0.0000 0.2003 (multiplicity 2)
Dy 0.0000 0.0000 0.4001 (multiplicity 2)
Ga 0.0000 0.5000 0.1004 (multiplicity 4)
Ga 0.0000 0.5000 0.3001 (multiplicity 4)
Ga 0.0000 0.5000 0.5000 (multiplicity 2)
Ga 0.5000 0.5000 0.0000 (multiplicity 1)
Ga 0.5000 0.5000 0.2001 (multiplicity 2)
Ga 0.5000 0.5000 0.4001 (multiplicity 2)


Record 2
This record from the Alexandria database describes a geometry-optimized Tb2Dy3Ga4 structure. The functional is GGA-PBE.

Properties
Formation enthalpy at 0 K in eV per atom: -0.571
N(E_F) in states/eV/f.u.: 6.629
DFT total energy in eV/atom: -4.48

Lattice parameters (Å, degrees): 7.9638 8.0050 7.3606 90.00 106.18 90.00
Space group P2_1/c (No. 14)
Symmetry-distinct sites (fractional):
Tb 0.1876 0.1866 0.0720 (multiplicity 4)
Dy 0.2372 0.6736 0.2524 (multiplicity 4)
Dy 0.5000 0.0000 0.5000 (multiplicity 2)
Ga 0.0819 0.5289 0.8626 (multiplicity 4)
Ga 0.4866 0.1259 0.8804 (multiplicity 4)


Record 3
This record from the Alexandria database describes a geometry-optimized TbDy2Ga3 structure. The functional is GGA-PBE.

Properties
Formation enthalpy at 0 K in eV per atom: -0.585
N(E_F) in states/eV/f.u.: 2.028
DFT total energy in eV/atom: -4.40

Lattice parameters (Å, degrees): 5.0512 5.0512 12.4120 90.00 90.00 120.00
Space group P-3m1 (No. 164)
Symmetry-distinct sites (fractional):
Tb 0.3333 0.6667 0.1667 (multiplicity 2)
Dy 0.0000 0.0000 0.0000 (multiplicity 1)
Dy 0.0000 0.0000 0.5000 (multiplicity 1)
Dy 0.3333 0.6667 0.6662 (multiplicity 2)
Ga 0.0000 0.0000 0.2505 (multiplicity 2)
Ga 0.3333 0.6667 0.4170 (multiplicity 2)
Ga 0.3333 0.6667 0.9164 (multiplicity 2)


Record 4
This record from the Alexandria database describes a geometry-optimized Tb5DyGa4 structure. The functional is GGA-PBE.

Properties
Formation enthalpy at 0 K in eV per atom: -0.287
N(E_F) in states/eV/f.u.: 9.136
DFT total energy in eV/atom: -4.27

Lattice parameters (Å, degrees): 17.2498 3.6923 8.7528 90.00 95.34 90.00
Space group C2/m (No. 12)
Symmetry-distinct sites (fractional):
Tb 0.0000 0.0000 0.0000 (multiplicity 2)
Tb 0.1505 0.5000 0.2839 (multiplicity 4)
Tb 0.1870 0.5000 0.8474 (multiplicity 4)
Dy 0.0000 0.0000 0.5000 (multiplicity 2)
Ga 0.0223 0.5000 0.7547 (multiplicity 4)
Ga 0.1852 0.0000 0.5608 (multiplicity 4)


- Among the records above, which one has the highest N(E_F)?
  Tb5DyGa4


- Among the records above, which one has the lowest N(E_F)?
  TbDy2Ga3


- Look up the DFT total energy of the third one.
  -4.40 eV/atom


- Which of these has the highest formation enthalpy at 0 K?
  Tb5DyGa4